Density functional theory data (GGA-PBE) for a geometry-optimized GaP2AuCl structure.

Results
**E_form (uncorrected)**: 3.1 eV per formula unit
**Density of states at the Fermi level**: 4.23 states/eV/cell
**Raw total energy**: -15.82 eV per cell
**Crystal system**: tetragonal

Cell and atoms, written as CIF:
```
data_GaP2AuCl
_cell_length_a 4.674
_cell_length_b 4.674
_cell_length_c 6.560
_cell_angle_alpha 90.00
_cell_angle_beta 90.00
_cell_angle_gamma 90.00
_space_group_name_H-M_alt 'P 1'
_space_group_IT_number 1
_space_group_name_Hall 'P 1'
loop_
_atom_site_label
_atom_site_type_symbol
_atom_site_fract_x
_atom_site_fract_y
_atom_site_fract_z
_atom_site_occupancy
Ga1 Ga 0.000 0.000 0.000 1
P1 P 0.000 0.500 0.500 1
P2 P 0.500 0.000 0.500 1
Au1 Au 0.500 0.500 0.500 1
Cl1 Cl 0.500 0.500 0.000 1
```